# 1
Compound: KInAu
Source: Alexandria
Functional: PBE
Structure: relaxed

Energy of formation = -0.268 eV/atom
Space group = Cmcm

a b c (Å): 6.590 6.590 6.413
angles (deg): 90.00 90.00 139.96
Atoms (fractional coordinates):
K 0.213 0.787 0.750
K 0.787 0.213 0.250
In 0.500 0.500 0.000
In 0.500 0.500 0.500
Au 0.067 0.933 0.250
Au 0.933 0.067 0.750

# 2
Compound: KIn2Au
Source: Alexandria
Functional: PBE
Structure: relaxed

Energy of formation = -0.172 eV/atom
Space group = Pmmm

a b c (Å): 3.501 3.723 8.500
angles (deg): 90.00 90.00 90.00
Atoms (fractional coordinates):
K 0.000 0.000 0.000
In 0.500 0.500 0.312
In 0.500 0.500 0.688
Au 0.000 0.000 0.500

Q: Among the records above, which one has the lowest energy of formation?
A: KInAu